[1]
First-principles (PBE) data for a relaxed Pm2TiSb3Pd4 crystal, as listed in Alexandria via LeMat-Bulk.

Results
Uncorrected formation energy   -0.798 eV per atom
Mass density   8.63 g/cm3

a = 4.392 Å, b = 4.392 Å, c = 11.259 Å
α = 90.00°, β = 90.00°, γ = 90.00°
Space group P-4m2 (No. 115)
Symmetry-distinct sites (fractional):
1 Pm 0.000 0.500 0.235 [2 per cell]
2 Ti 0.000 0.000 0.500 [1 per cell]
3 Sb 0.000 0.500 0.862 [2 per cell]
4 Sb 0.500 0.500 0.500 [1 per cell]
5 Pd 0.000 0.000 0.000 [1 per cell]
6 Pd 0.000 0.500 0.631 [2 per cell]
7 Pd 0.500 0.500 0.000 [1 per cell]

=====

[2]
First-principles (PBE) data for a relaxed InB2Pt crystal, as listed in Alexandria via LeMat-Bulk.

Results
Total energy   -5.03 eV/atom
Mass density   8.22 g/cm3

a = 5.237 Å, b = 5.237 Å, c = 9.767 Å
α = 90.00°, β = 90.00°, γ = 90.00°
Space group I-42d (No. 122)
Symmetry-distinct sites (fractional):
1 In 0.000 0.000 0.000 [4 per cell]
2 B 0.184 0.250 0.625 [8 per cell]
3 Pt 0.000 0.000 0.500 [4 per cell]

=====

[3]
First-principles (PBE) data for a relaxed BaNd2Sn crystal, as listed in Alexandria via LeMat-Bulk.

Results
Total energy   -3.89 eV/atom
Mass density   5.64 g/cm3

a = 3.9467 Å, b = 3.9467 Å, c = 35.6742 Å
α = 90.00°, β = 90.00°, γ = 120.00°
Space group R-3m (No. 166, hexagonal axes)
Symmetry-distinct sites (fractional):
1 Ba 0.0000 0.0000 0.0000 [3 per cell]
2 Nd 0.0000 0.0000 0.1047 [6 per cell]
3 Sn 0.0000 0.0000 0.5000 [3 per cell]

=====

[4]
First-principles (PBE) data for a relaxed Ti6SbC2 crystal, as listed in Alexandria via LeMat-Bulk.

Results
Uncorrected formation energy   -0.278 eV per atom
Mass density   4.84 g/cm3

a = 10.012 Å, b = 4.191 Å, c = 7.693 Å
α = 90.00°, β = 113.13°, γ = 90.00°
Space group C2/m (No. 12)
Symmetry-distinct sites (fractional):
1 Ti 0.004 0.000 0.167 [4 per cell]
2 Ti 0.185 0.500 0.076 [4 per cell]
3 Ti 0.190 0.500 0.607 [4 per cell]
4 Sb 0.000 0.000 0.500 [2 per cell]
5 C 0.182 0.000 0.092 [4 per cell]

=====

[5]
First-principles (PBE) data for a relaxed La3PS2 crystal, as listed in Alexandria via LeMat-Bulk.

Results
Uncorrected formation energy   -2.018 eV per atom
Mass density   5.42 g/cm3

a = 4.195 Å, b = 5.923 Å, c = 12.631 Å
α = 90.00°, β = 90.00°, γ = 90.00°
Space group Immm (No. 71)
Symmetry-distinct sites (fractional):
1 La 0.000 0.000 0.000 [2 per cell]
2 La 0.000 0.000 0.336 [4 per cell]
3 P 0.000 0.500 0.000 [2 per cell]
4 S 0.000 0.500 0.333 [4 per cell]

=====

[6]
First-principles (PBE) data for a relaxed BaMn2Ir crystal, as listed in Alexandria via LeMat-Bulk.

Results
Total energy   -6.00 eV/atom
Mass density   10.77 g/cm3

a = 6.471 Å, b = 6.471 Å, c = 6.471 Å
α = 90.00°, β = 90.00°, γ = 90.00°
Space group Fm-3m (No. 225)
Symmetry-distinct sites (fractional):
1 Ba 0.000 0.000 0.000 [4 per cell]
2 Mn 0.250 0.250 0.250 [8 per cell]
3 Ir 0.000 0.000 0.500 [4 per cell]

=====

[7]
First-principles (PBE) data for a relaxed LiLaTbRu crystal, as listed in Alexandria via LeMat-Bulk.

Results
Total energy   -5.37 eV/atom
Mass density   7.43 g/cm3

a = 7.132 Å, b = 7.132 Å, c = 7.132 Å
α = 90.00°, β = 90.00°, γ = 90.00°
Space group F-43m (No. 216)
Symmetry-distinct sites (fractional):
1 Li 0.000 0.000 0.000 [4 per cell]
2 La 0.250 0.250 0.250 [4 per cell]
3 Tb 0.250 0.250 0.750 [4 per cell]
4 Ru 0.000 0.000 0.500 [4 per cell]

=====

[8]
First-principles (PBE) data for a relaxed Hf12Fe6Cu crystal, as listed in Alexandria via LeMat-Bulk.

Results
Total energy   -9.02 eV/atom
Mass density   11.07 g/cm3

a = 11.3904 Å, b = 11.3904 Å, c = 10.1746 Å
α = 90.00°, β = 90.00°, γ = 120.00°
Space group R-3 (No. 148, hexagonal axes)
Symmetry-distinct sites (fractional):
1 Hf 0.0336 0.2123 0.3890 [18 per cell]
2 Hf 0.0381 0.2198 0.8890 [18 per cell]
3 Fe 0.0493 0.2621 0.6496 [18 per cell]
4 Cu 0.0000 0.0000 0.0000 [3 per cell]

=====

[9]
First-principles (PBE) data for a relaxed KGaH crystal, as listed in Alexandria via LeMat-Bulk.

Results
Total energy   -2.62 eV/atom
Mass density   2.37 g/cm3

a = 12.070 Å, b = 4.506 Å, c = 6.656 Å
α = 90.00°, β = 121.90°, γ = 90.00°
Space group Cm (No. 8)
Symmetry-distinct sites (fractional):
1 K 0.000 0.000 0.000 [2 per cell]
2 K 0.144 0.500 0.643 [2 per cell]
3 Ga 0.306 0.500 0.270 [2 per cell]
4 Ga 0.329 0.000 0.153 [2 per cell]
5 H 0.306 0.000 0.882 [2 per cell]
6 H 0.332 0.500 0.538 [2 per cell]

=====

[10]
First-principles (PBE) data for a relaxed MnTl3Cu2Cl9 crystal, as listed in Alexandria via LeMat-Bulk.

Results
Uncorrected formation energy   -0.832 eV per atom
Mass density   5.19 g/cm3

a = 6.9537 Å, b = 6.9537 Å, c = 8.5070 Å
α = 90.00°, β = 90.00°, γ = 120.00°
Space group P-3m1 (No. 164)
Symmetry-distinct sites (fractional):
1 Mn 0.0000 0.0000 0.0000 [1 per cell]
2 Tl 0.0000 0.0000 0.5000 [1 per cell]
3 Tl 0.3333 0.6667 0.1817 [2 per cell]
4 Cu 0.3333 0.6667 0.6609 [2 per cell]
5 Cl 0.0000 0.5000 0.5000 [3 per cell]
6 Cl 0.1643 0.3286 0.8368 [6 per cell]

=====

[11]
First-principles (PBE) data for a relaxed MnS3Br crystal, as listed in Alexandria via LeMat-Bulk.

Results
Uncorrected formation energy   0.403 eV per atom
Mass density   4.31 g/cm3

a = 4.465 Å, b = 4.465 Å, c = 4.465 Å
α = 90.00°, β = 90.00°, γ = 90.00°
Space group Pm-3m (No. 221)
Symmetry-distinct sites (fractional):
1 Mn 0.000 0.000 0.000 [1 per cell]
2 S 0.000 0.000 0.500 [3 per cell]
3 Br 0.500 0.500 0.500 [1 per cell]

=====

[12]
First-principles (PBE) data for a relaxed InH2N4 crystal, as listed in Alexandria via LeMat-Bulk.

Results
Total energy   -4.29 eV/atom
Mass density   3.00 g/cm3

a = 4.427 Å, b = 4.427 Å, c = 9.761 Å
α = 90.00°, β = 90.00°, γ = 90.00°
Space group I4/mmm (No. 139)
Symmetry-distinct sites (fractional):
1 In 0.000 0.000 0.000 [2 per cell]
2 H 0.000 0.000 0.339 [4 per cell]
3 N 0.000 0.000 0.233 [4 per cell]
4 N 0.000 0.500 0.000 [4 per cell]

=====

[13]
First-principles (PBE) data for a relaxed Cs5Na2 crystal, as listed in Alexandria via LeMat-Bulk.

Results
Total energy   -0.97 eV/atom
Mass density   1.85 g/cm3

a = 23.665 Å, b = 9.000 Å, c = 12.070 Å
α = 90.00°, β = 97.73°, γ = 90.00°
Space group C2/c (No. 15)
Symmetry-distinct sites (fractional):
1 Cs 0.000 0.138 0.250 [4 per cell]
2 Cs 0.093 0.353 0.927 [8 per cell]
3 Cs 0.223 0.094 0.322 [8 per cell]
4 Na 0.101 0.182 0.578 [8 per cell]

=====

[14]
First-principles (PBE) data for a relaxed Rb2MoH crystal, as listed in Alexandria via LeMat-Bulk.

Results
Total energy   -3.06 eV/atom
Mass density   2.85 g/cm3

a = 12.805 Å, b = 12.805 Å, c = 3.811 Å
α = 90.00°, β = 90.00°, γ = 90.00°
Space group I-42d (No. 122)
Symmetry-distinct sites (fractional):
1 Rb 0.068 0.250 0.125 [8 per cell]
2 Mo 0.000 0.000 0.500 [4 per cell]
3 H 0.000 0.000 0.000 [4 per cell]

=====

[15]
First-principles (PBE) data for a relaxed CoH2Cl crystal, as listed in Alexandria via LeMat-Bulk.

Results
Total energy   -2.82 eV/atom
Mass density   4.65 g/cm3

a = 5.162 Å, b = 5.162 Å, c = 5.162 Å
α = 90.00°, β = 90.00°, γ = 90.00°
Space group Fm-3m (No. 225)
Symmetry-distinct sites (fractional):
1 Co 0.000 0.000 0.000 [4 per cell]
2 H 0.250 0.250 0.250 [8 per cell]
3 Cl 0.000 0.000 0.500 [4 per cell]

=====

[16]
First-principles (PBE) data for a relaxed CaMgSn2Mo crystal, as listed in Alexandria via LeMat-Bulk.

Results
Total energy   -4.39 eV/atom
Mass density   4.67 g/cm3

a = 5.235 Å, b = 5.235 Å, c = 5.159 Å
α = 90.00°, β = 90.00°, γ = 90.00°
Space group P4/mmm (No. 123)
Symmetry-distinct sites (fractional):
1 Ca 0.000 0.000 0.000 [1 per cell]
2 Mg 0.500 0.500 0.000 [1 per cell]
3 Sn 0.000 0.500 0.500 [2 per cell]
4 Mo 0.500 0.500 0.500 [1 per cell]

=====

[17]
First-principles (PBE) data for a relaxed MoS2 crystal, as listed in Alexandria via LeMat-Bulk.

Results
Uncorrected formation energy   -0.875 eV per atom
Mass density   4.25 g/cm3

a = 3.1892 Å, b = 3.1892 Å, c = 21.3142 Å
α = 90.00°, β = 90.00°, γ = 120.00°
Space group R3m (No. 160, hexagonal axes)
Symmetry-distinct sites (fractional):
1 Mo 0.0000 0.0000 0.0000 [3 per cell]
2 S 0.0000 0.0000 0.2599 [3 per cell]
3 S 0.0000 0.0000 0.4068 [3 per cell]

=====

[18]
First-principles (PBE) data for a relaxed TaZn2Re crystal, as listed in Alexandria via LeMat-Bulk.

Results
Total energy   -6.63 eV/atom
Mass density   13.58 g/cm3

a = 3.474 Å, b = 4.340 Å, c = 8.080 Å
α = 90.00°, β = 90.00°, γ = 90.00°
Space group Imm2 (No. 44)
Symmetry-distinct sites (fractional):
1 Ta 0.000 0.000 0.000 [2 per cell]
2 Zn 0.000 0.000 0.488 [2 per cell]
3 Zn 0.000 0.500 0.763 [2 per cell]
4 Re 0.000 0.500 0.247 [2 per cell]

=====

[19]
First-principles (PBE) data for a relaxed MnTlSi2 crystal, as listed in Alexandria via LeMat-Bulk.

Results
Uncorrected formation energy   0.587 eV per atom
Mass density   7.28 g/cm3

a = 4.058 Å, b = 4.058 Å, c = 8.742 Å
α = 90.00°, β = 90.00°, γ = 90.00°
Space group I4/mmm (No. 139)
Symmetry-distinct sites (fractional):
1 Mn 0.000 0.000 0.000 [2 per cell]
2 Tl 0.000 0.000 0.500 [2 per cell]
3 Si 0.000 0.500 0.250 [4 per cell]

=====

[20]
First-principles (PBE) data for a relaxed LaPmNpN3 crystal, as listed in Alexandria via LeMat-Bulk.

Results
Uncorrected formation energy   -1.001 eV per atom
Mass density   7.91 g/cm3

a = 7.494 Å, b = 3.697 Å, c = 8.547 Å
α = 90.00°, β = 93.75°, γ = 90.00°
Space group P2_1/m (No. 11)
Symmetry-distinct sites (fractional):
1 La 0.111 0.250 0.169 [2 per cell]
2 Pm 0.348 0.750 0.875 [2 per cell]
3 Np 0.445 0.750 0.413 [2 per cell]
4 N 0.126 0.250 0.889 [2 per cell]
5 N 0.290 0.250 0.429 [2 per cell]
6 N 0.407 0.750 0.156 [2 per cell]